(1)
Compound: Mn3Nb2O9
Source: the Alexandria database
Functional: GGA-PBEsol
Structure: optimized geometry

Cell: 5.1551 5.1551 14.1417 Å, 90.00 90.00 120.00°
With the nearest neighbours (Å) after each atom.
Positions (direct):
Mn  0.0000  0.0000  0.0000  3 O 1.85
Mn  0.0000  0.0000  0.2036  6 O 1.98-2.18
Mn  0.0000  0.0000  0.5000  3 O 1.85
Mn  0.0000  0.0000  0.7036  6 O 1.98-2.18
Mn  0.3333  0.6667  0.1792  6 O 2.04-2.12
Mn  0.3333  0.6667  0.6792  6 O 2.04-2.12
Nb  0.6667  0.3333  0.0410  6 O 1.99-2.07
Nb  0.6667  0.3333  0.3279  3 O 1.91
Nb  0.6667  0.3333  0.5410  6 O 1.99-2.07
Nb  0.6667  0.3333  0.8279  3 O 1.91
O  0.0072  0.3078  0.0964  1 Nb 1.99, 3 Mn 2.08-2.18
O  0.0072  0.6994  0.5964  1 Nb 1.99, 3 Mn 2.08-2.18
O  0.3006  0.3078  0.5964  1 Nb 1.99, 3 Mn 2.08-2.18
O  0.3006  0.9928  0.0964  1 Nb 1.99, 3 Mn 2.08-2.18
O  0.3516  0.0878  0.4385  1 Mn 1.85, 1 Nb 2.07
O  0.3516  0.2638  0.9385  1 Mn 1.85, 1 Nb 2.07
O  0.3542  0.0046  0.7598  1 Nb 1.91, 2 Mn 1.98-2.04
O  0.3542  0.3496  0.2598  1 Nb 1.91, 2 Mn 1.98-2.04
O  0.6504  0.0046  0.2598  1 Nb 1.91, 2 Mn 1.98-2.04
O  0.6504  0.6458  0.7598  1 Nb 1.91, 2 Mn 1.98-2.04
O  0.6922  0.6994  0.0964  1 Nb 1.99, 3 Mn 2.08-2.18
O  0.6922  0.9928  0.5964  1 Nb 1.99, 3 Mn 2.08-2.18
O  0.7362  0.0878  0.9385  1 Mn 1.85, 1 Nb 2.07
O  0.7362  0.6484  0.4385  1 Mn 1.85, 1 Nb 2.07
O  0.9122  0.2638  0.4385  1 Mn 1.85, 1 Nb 2.07
O  0.9122  0.6484  0.9385  1 Mn 1.85, 1 Nb 2.07
O  0.9954  0.3496  0.7598  1 Nb 1.91, 2 Mn 1.98-2.04
O  0.9954  0.6458  0.2598  1 Nb 1.91, 2 Mn 1.98-2.04

Computed properties:
Uncorrected formation energy = -1951.3 meV/atom

***

(2)
Compound: Mn3NbO8
Source: the Alexandria database
Functional: GGA-PBEsol
Structure: optimized geometry

Cell: 5.6557 5.6557 9.2567 Å, 90.00 90.00 120.00°
With the nearest neighbours (Å) after each atom.
Positions (direct):
Mn  0.1680  0.3361  0.0000  6 O 1.89-1.94
Mn  0.1680  0.8320  0.0000  6 O 1.89-1.94
Mn  0.3361  0.1680  0.5000  6 O 1.89-1.94
Mn  0.6639  0.8320  0.0000  6 O 1.89-1.94
Mn  0.8320  0.1680  0.5000  6 O 1.89-1.94
Mn  0.8320  0.6639  0.5000  6 O 1.89-1.94
Nb  0.3333  0.6667  0.7225  6 O 1.94-2.09
Nb  0.6667  0.3333  0.2225  6 O 1.94-2.09
O  0.0000  0.0000  0.4004  3 Mn 1.89
O  0.0000  0.0000  0.9004  3 Mn 1.89
O  0.0335  0.5168  0.8839  2 Mn 1.89, 1 Nb 2.09
O  0.1637  0.3274  0.6142  2 Mn 1.94, 1 Nb 1.94
O  0.1637  0.8363  0.6142  2 Mn 1.94, 1 Nb 1.94
O  0.3274  0.1637  0.1142  2 Mn 1.94, 1 Nb 1.94
O  0.3333  0.6667  0.1058  3 Mn 1.89
O  0.4832  0.5168  0.8839  2 Mn 1.89, 1 Nb 2.09
O  0.4832  0.9665  0.8839  2 Mn 1.89, 1 Nb 2.09
O  0.5168  0.0335  0.3839  2 Mn 1.89, 1 Nb 2.09
O  0.5168  0.4832  0.3839  2 Mn 1.89, 1 Nb 2.09
O  0.6667  0.3333  0.6058  3 Mn 1.89
O  0.6726  0.8363  0.6142  2 Mn 1.94, 1 Nb 1.94
O  0.8363  0.1637  0.1142  2 Mn 1.94, 1 Nb 1.94
O  0.8363  0.6726  0.1142  2 Mn 1.94, 1 Nb 1.94
O  0.9665  0.4832  0.3839  2 Mn 1.89, 1 Nb 2.09

Computed properties:
Uncorrected formation energy = -1852.4 meV/atom

***

(3)
Compound: MnNbPO2
Source: the Alexandria database
Functional: GGA-PBEsol
Structure: optimized geometry

Cell: 3.8650 3.8650 5.2293 Å, 90.00 90.00 90.00°
With the nearest neighbours (Å) after each atom.
Positions (direct):
Mn  0.0000  0.0000  0.0000  4 P 2.73
Nb  0.5000  0.5000  0.5000  4 O 1.93
P  0.5000  0.5000  0.0000  2 Nb 2.61, 4 Mn 2.73
O  0.0000  0.5000  0.5000  2 Nb 1.93
O  0.5000  0.0000  0.5000  2 Nb 1.93

Computed properties:
Uncorrected formation energy = -1094.2 meV/atom

***

Number 1: E_tot -8.963 eV/atom, density of states at the Fermi level 6.14 states/eV per cell. Number 2: E_tot -8.694 eV/atom, density of states at the Fermi level 6.81 states/eV per cell. Number 3: E_tot -8.469 eV/atom, density of states at the Fermi level 0.64 states/eV per cell.